# NiHgIr | Alexandria | PBE | optimized geometry
data_NiHgIr
_symmetry_space_group_name_H-M 'P 1'
_symmetry_Int_Tables_number 1
_cell_length_a 4.188
_cell_length_b 4.188
_cell_length_c 4.188
_cell_angle_alpha 60.00
_cell_angle_beta 60.00
_cell_angle_gamma 60.00
loop_
_symmetry_equiv_pos_as_xyz
'x,y,z'
loop_
_atom_site_label
_atom_site_type_symbol
_atom_site_fract_x
_atom_site_fract_y
_atom_site_fract_z
_atom_site_occupancy
Ir1 Ir 0.500 0.500 0.500 1
Ni1 Ni 0.750 0.750 0.750 1
Hg1 Hg 0.000 0.000 0.000 1
# Space group: F-43m (216)
# Crystal system: cubic
# Calculated volume, Å³/cell: 51.9
# DFT formation energy, eV/atom: 0.598

---

# NiHgIr | Alexandria | PBE | optimized geometry
data_NiHgIr
_symmetry_space_group_name_H-M 'P 1'
_symmetry_Int_Tables_number 1
_cell_length_a 4.340
_cell_length_b 4.340
_cell_length_c 2.906
_cell_angle_alpha 90.00
_cell_angle_beta 90.00
_cell_angle_gamma 120.00
loop_
_symmetry_equiv_pos_as_xyz
'x,y,z'
loop_
_atom_site_label
_atom_site_type_symbol
_atom_site_fract_x
_atom_site_fract_y
_atom_site_fract_z
_atom_site_occupancy
Hg1 Hg 0.000 0.000 0.000 1
Ni1 Ni 0.667 0.333 0.501 1
Ir1 Ir 0.333 0.667 0.500 1
# Space group: P-6m2 (187)
# Crystal system: hexagonal
# Calculated volume, Å³/cell: 47.4
# DFT formation energy, eV/atom: 0.480

---

# NiHg2Ir | Alexandria | PBE | optimized geometry
data_NiHg2Ir
_symmetry_space_group_name_H-M 'P 1'
_symmetry_Int_Tables_number 1
_cell_length_a 5.275
_cell_length_b 5.275
_cell_length_c 5.275
_cell_angle_alpha 144.38
_cell_angle_beta 127.02
_cell_angle_gamma 65.49
loop_
_symmetry_equiv_pos_as_xyz
'x,y,z'
loop_
_atom_site_label
_atom_site_type_symbol
_atom_site_fract_x
_atom_site_fract_y
_atom_site_fract_z
_atom_site_occupancy
Hg1 Hg 0.016 0.016 0.000 1
Ir1 Ir 0.750 0.250 0.500 1
Ni1 Ni 0.250 0.750 0.500 1
Hg2 Hg 0.484 0.484 0.000 1
# Space group: Immm (71)
# Crystal system: orthorhombic
# Calculated volume, Å³/cell: 67.4
# DFT formation energy, eV/atom: 0.498

---

# NiHg2Ir | Alexandria | PBE | optimized geometry
data_NiHg2Ir
_symmetry_space_group_name_H-M 'P 1'
_symmetry_Int_Tables_number 1
_cell_length_a 4.770
_cell_length_b 4.770
_cell_length_c 5.066
_cell_angle_alpha 77.74
_cell_angle_beta 77.74
_cell_angle_gamma 37.33
loop_
_symmetry_equiv_pos_as_xyz
'x,y,z'
loop_
_atom_site_label
_atom_site_type_symbol
_atom_site_fract_x
_atom_site_fract_y
_atom_site_fract_z
_atom_site_occupancy
Ni1 Ni 0.750 0.750 0.750 1
Hg1 Hg 0.006 0.006 0.992 1
Hg2 Hg 0.494 0.494 0.508 1
Ir1 Ir 0.250 0.250 0.250 1
# Space group: C2/m (12)
# Crystal system: monoclinic
# Calculated volume, Å³/cell: 68.1
# DFT formation energy, eV/atom: 0.474

---

# NiHg2Ir | Alexandria | PBE | optimized geometry
data_NiHg2Ir
_symmetry_space_group_name_H-M 'P 1'
_symmetry_Int_Tables_number 1
_cell_length_a 3.051
_cell_length_b 5.070
_cell_length_c 5.600
_cell_angle_alpha 52.04
_cell_angle_beta 90.00
_cell_angle_gamma 90.00
loop_
_symmetry_equiv_pos_as_xyz
'x,y,z'
loop_
_atom_site_label
_atom_site_type_symbol
_atom_site_fract_x
_atom_site_fract_y
_atom_site_fract_z
_atom_site_occupancy
Ni1 Ni 0.000 0.000 0.500 1
Hg1 Hg 0.000 0.000 0.000 1
Hg2 Hg 0.500 0.500 0.000 1
Ir1 Ir 0.500 0.500 0.500 1
# Space group: P2/m (10)
# Crystal system: monoclinic
# Calculated volume, Å³/cell: 68.3
# DFT formation energy, eV/atom: 0.458

---

# Ni2HgIr2 | Alexandria | PBE | optimized geometry
data_Ni2HgIr2
_symmetry_space_group_name_H-M 'P 1'
_symmetry_Int_Tables_number 1
_cell_length_a 7.323
_cell_length_b 7.323
_cell_length_c 2.761
_cell_angle_alpha 90.00
_cell_angle_beta 90.00
_cell_angle_gamma 90.00
loop_
_symmetry_equiv_pos_as_xyz
'x,y,z'
loop_
_atom_site_label
_atom_site_type_symbol
_atom_site_fract_x
_atom_site_fract_y
_atom_site_fract_z
_atom_site_occupancy
Ni1 Ni 0.831 0.331 0.500 1
Ir1 Ir 0.127 0.373 0.000 1
Ir2 Ir 0.873 0.627 0.000 1
Hg1 Hg 0.500 0.500 0.000 1
Ni2 Ni 0.331 0.169 0.500 1
Ni3 Ni 0.669 0.831 0.500 1
Hg2 Hg 0.000 0.000 0.000 1
Ir3 Ir 0.373 0.873 0.000 1
Ni4 Ni 0.169 0.669 0.500 1
Ir4 Ir 0.627 0.127 0.000 1
# Space group: P4/mbm (127)
# Crystal system: tetragonal
# Calculated volume, Å³/cell: 148.1
# DFT formation energy, eV/atom: 0.306

---

The total magnetization results, record by record, are as follows: 1.31, 0.73, 0.00, 0.00, 0.00, 0.00 Bohr magnetons per cell.
The excess energy over the best structure of this formula in the dataset results, record by record, are as follows: 283.8, 165.5, 177.5, 153.9, 137.5, 0.0 meV/atom.